Below is a relaxed structure of SrZn2InN, with properties calculated at the PBE level.

Lattice parameters (Å, degrees): 6.0654 6.0654 4.4046 90.00 90.00 90.00
Space group P4/mmm (No. 123)
Asymmetric unit:
Sr  0.0000  0.0000  0.0000
Zn  0.0000  0.5000  0.0000
In  0.5000  0.5000  0.5000
N  0.0000  0.0000  0.5000

---

Below is a relaxed structure of TaIn2N, with properties calculated at the PBE level.

Lattice parameters (Å, degrees): 7.0690 7.0690 5.6386 90.00 90.00 90.00
Space group I-42d (No. 122)
Asymmetric unit:
Ta  0.0000  0.0000  0.0000
In  0.1798  0.2500  0.6250
N  0.0000  0.0000  0.5000

---

Below is a relaxed structure of TaInN, with properties calculated at the PBE level.

Lattice parameters (Å, degrees): 4.3278 4.3237 10.7121 90.00 90.07 90.00
Space group C2/m (No. 12)
Asymmetric unit:
Ta  0.2501  0.0000  0.0973
In  0.2471  0.0000  0.3863
N  0.2504  0.0000  0.8893

---

Below is a relaxed structure of Ta3InN, with properties calculated at the PBE level.

Lattice parameters (Å, degrees): 4.9953 4.9953 4.9953 90.00 90.00 90.00
Space group Pm-3m (No. 221)
Asymmetric unit:
Ta  0.0000  0.0000  0.5000
In  0.0000  0.0000  0.0000
N  0.5000  0.5000  0.5000

---

Below is a relaxed structure of TaInN2, with properties calculated at the PBE level.

Lattice parameters (Å, degrees): 5.8725 5.8725 8.8675 90.00 90.00 90.00
Space group I-42d (No. 122)
Asymmetric unit:
Ta  0.0000  0.0000  0.0000
In  0.0000  0.0000  0.5000
N  0.1076  0.2500  0.1250

---

Below is a relaxed structure of TaInN3, with properties calculated at the PBE level.

Lattice parameters (Å, degrees): 3.9999 3.9999 3.9999 90.00 90.00 90.00
Space group Pm-3m (No. 221)
Asymmetric unit:
Ta  0.0000  0.0000  0.0000
In  0.5000  0.5000  0.5000
N  0.0000  0.5000  0.5000

---

Below is a relaxed structure of Ta2InN4, with properties calculated at the PBE level.

Lattice parameters (Å, degrees): 3.0556 10.1009 10.6181 90.00 90.00 90.00
Space group Cmcm (No. 63)
Asymmetric unit:
Ta  0.0000  0.1271  0.0718
In  0.0000  0.3786  0.2500
N  0.0000  0.0443  0.2500
N  0.0000  0.2303  0.6110
N  0.0000  0.5000  0.0000

---

Below is a relaxed structure of Ta3InN, with properties calculated at the PBE level.

Lattice parameters (Å, degrees): 4.3145 4.3145 4.3145 90.00 90.00 90.00
Space group Pm-3m (No. 221)
Asymmetric unit:
Ta  0.0000  0.0000  0.5000
In  0.5000  0.5000  0.5000
N  0.0000  0.0000  0.0000

---

The total DFT energy (no corrections) results, record by record, are as follows: -10.8; -22.3; -24.5; -29.8; -33.0; -30.3; -64.0; -47.8 eV per formula unit.